[1]
K2ErThSe4 (PBE, relaxed); E_tot = -5.1496 eV per atom
1.0
4.2014 0.0000 0.0000
0.0000 7.3157 0.1427
0.0000 -2.5529 7.7122
K Er Th Se
2 1 1 4
direct
0.5000 0.0000 0.5000
0.0000 0.5000 0.5000
0.5000 0.5000 0.0000
0.0000 0.0000 0.0000
0.5000 0.2460 0.2142
0.5000 0.7540 0.7858
0.0000 0.2700 0.7929
0.0000 0.7300 0.2071

[2]
NaSr2Ag2 (PBE, relaxed); calculated formation energy = -226 meV per atom; E_tot = -2.3034 eV per atom
1.0
4.3264 0.0000 0.0000
0.0000 4.5809 -1.3023
0.0000 -0.0607 8.4942
Na Sr Ag
1 2 2
direct
0.0000 0.0000 0.0000
0.5000 0.6420 0.2839
0.5000 0.3580 0.7161
0.0000 0.1992 0.3985
0.0000 0.8008 0.6015

[3]
MgPdF3 (PBE, relaxed); E_tot = -3.7620 eV per atom
1.0
4.2971 0.0000 0.0000
0.0000 4.2971 0.0000
0.0000 0.0000 4.2971
Mg Pd F
1 1 3
direct
0.5000 0.5000 0.5000
0.0000 0.0000 0.0000
0.0000 0.5000 0.0000
0.0000 0.0000 0.5000
0.5000 0.0000 0.0000

[4]
MoPb2Br (PBE, relaxed); E_tot = -4.2806 eV per atom
1.0
-2.4491 2.0962 -1.0563
-3.9804 -4.0643 1.1631
-0.5032 1.9132 4.9634
Pb Mo Br
2 1 1
direct
0.0000 0.0000 0.0000
0.5000 0.5000 0.0000
0.0000 0.5000 0.5000
0.5000 0.0000 0.5000

Question: Which of these has the lowest E_tot?
Answer: K2ErThSe4

Question: E_tot of number 1 (K2ErThSe4)?
Answer: -5.1496 eV per atom